ZnS3Br3 | PBE | relaxed

Summary:
Mass density = 2.70 g/cm³
Volume = 35.32 A^3/atom
Formation energy from raw total energies = -0.17 eV/atom
Total magnetization = 0.144 μB/atom

Cell: 8.3222 8.3236 9.4351 Å, 63.93 88.02 60.11°
With the nearest neighbours (Å) after each atom.
Space group P-1 (No. 2)
Inequivalent atoms, fractional coordinates:
1 Zn 0.2464 0.4988 0.2551 (multiplicity 2)  3 Br 2.34-2.35
2 S 0.2748 0.2154 0.8133 (multiplicity 2)  2 S 2.09
3 S 0.4657 0.8024 0.1897 (multiplicity 2)  2 S 2.09
4 S 0.4852 0.0424 0.1904 (multiplicity 2)  2 S 2.09
5 Br 0.0602 0.8222 0.2552 (multiplicity 2)  1 Zn 2.34
6 Br 0.1104 0.3110 0.2544 (multiplicity 2)  1 Zn 2.34
7 Br 0.4291 0.6395 0.7424 (multiplicity 2)  1 Zn 2.35